Here is a relaxed structure of AlGaAgGe2 from Alexandria via LeMat-Bulk. Energies are from GGA-PBEsol.

Summary:
Magnetic moment = 0.00 μB/cell
ΔH_f (0 K) = 690.2 meV per atom

Lattice parameters (Å, degrees): 4.958 4.958 4.776 90.00 90.00 90.00
Space group P4/mmm (No. 123)
Unique sites:
Al  0.000  0.000  0.000 x1
Ga  0.500  0.500  0.000 x1
Ag  0.500  0.500  0.500 x1
Ge  0.000  0.500  0.500 x2


Here is a relaxed structure of BaMn2Si from Alexandria via LeMat-Bulk. Energies are from GGA-PBEsol.

Summary:
E_form (uncorrected) = 0.139 eV/atom
Magnetic moment = 14.78 μB/cell

Lattice parameters (Å, degrees): 4.0813 4.0813 17.3707 90.00 90.00 120.00
Space group R-3m (No. 166, hexagonal axes)
Unique sites:
Ba  0.0000  0.0000  0.0000 x3
Mn  0.0000  0.0000  0.1930 x6
Si  0.0000  0.0000  0.5000 x3


Here is a relaxed structure of Y2Te2F from Alexandria via LeMat-Bulk. Energies are from GGA-PBEsol.

Summary:
E_form (uncorrected) = -1.828 eV/atom
Magnetic moment = 0.01 μB/cell

Lattice parameters (Å, degrees): 5.917 5.917 10.252 90.00 90.00 90.00
Space group I4/mmm (No. 139)
Unique sites:
Y  0.000  0.000  0.207 x4
Te  0.000  0.500  0.250 x4
F  0.000  0.000  0.000 x2


Here is a relaxed structure of Ga2SnBr from Alexandria via LeMat-Bulk. Energies are from GGA-PBEsol.

Summary:
E_form (uncorrected) = 0.020 eV/atom
Magnetic moment = 0.00 μB/cell

Lattice parameters (Å, degrees): 7.113 7.113 7.113 90.00 90.00 90.00
Space group Fm-3m (No. 225)
Unique sites:
Ga  0.250  0.250  0.250 x8
Sn  0.000  0.000  0.000 x4
Br  0.000  0.000  0.500 x4


It is found that the E values, taken in the order of the records, are -3.434; -6.716; -6.353; -3.183 eV per atom.